A geometry-optimized TbLuCdGe structure. Source: Alexandria, functional GGA-PBE.

## Properties
- DOS(E_F): 3.2 states/eV/f.u.
- Crystal system: cubic
- Calculated formation energy: -1.76 eV/f.u.

Lattice parameters (Å, degrees): 5.105 5.105 5.105 60.00 60.00 60.00
Fractional coordinates of all 4 atoms:
1 Tb 0.000 0.000 0.000
2 Lu 0.500 0.500 0.500
3 Cd 0.250 0.250 0.250
4 Ge 0.750 0.750 0.750

A geometry-optimized Tb4Ho3ThSe8 structure. Source: Alexandria, functional GGA-PBE.

## Properties
- Raw formation energy: -1.71 eV per atom
- DOS(E_F): 11.1 states/eV/f.u.
- Crystal system: trigonal

Lattice parameters (Å, degrees): 8.186 8.186 8.186 60.15 60.15 60.15
Fractional coordinates of all 16 atoms:
1 Tb 0.000 0.000 0.000
2 Tb 0.000 0.500 0.500
3 Tb 0.500 0.000 0.500
4 Tb 0.500 0.500 0.000
5 Ho 0.000 0.000 0.500
6 Ho 0.000 0.500 0.000
7 Ho 0.500 0.000 0.000
8 Th 0.500 0.500 0.500
9 Se 0.243 0.754 0.754
10 Se 0.246 0.246 0.757
11 Se 0.246 0.757 0.246
12 Se 0.249 0.249 0.249
13 Se 0.751 0.751 0.751
14 Se 0.754 0.243 0.754
15 Se 0.754 0.754 0.243
16 Se 0.757 0.246 0.246

A geometry-optimized CrNi15Ge4 structure. Source: Alexandria, functional GGA-PBE.

## Properties
- DOS(E_F): 13.8 states/eV/f.u.
- Crystal system: tetragonal
- Calculated formation energy: -4.57 eV/f.u.

Lattice parameters (Å, degrees): 3.573 3.573 17.817 90.00 90.00 90.00
Fractional coordinates of all 20 atoms:
1 Cr 0.000 0.000 0.000
2 Ni 0.000 0.500 0.098
3 Ni 0.000 0.500 0.299
4 Ni 0.000 0.500 0.500
5 Ni 0.000 0.500 0.701
6 Ni 0.000 0.500 0.902
7 Ni 0.500 0.000 0.098
8 Ni 0.500 0.000 0.299
9 Ni 0.500 0.000 0.500
10 Ni 0.500 0.000 0.701
11 Ni 0.500 0.000 0.902
12 Ni 0.500 0.500 0.000
13 Ni 0.500 0.500 0.199
14 Ni 0.500 0.500 0.399
15 Ni 0.500 0.500 0.601
16 Ni 0.500 0.500 0.801
17 Ge 0.000 0.000 0.200
18 Ge 0.000 0.000 0.400
19 Ge 0.000 0.000 0.600
20 Ge 0.000 0.000 0.800

How do the records compare in V? In the order shown, they have 94.08; 389.31; 227.45 Å³/cell.